No. 1
This record from the Alexandria database describes crystalline Ta6Nb5Pt at its relaxed geometry. The functional is PBE-GGA.

**Crystal system**: monoclinic
**Magnetic moment**: 0.00 μB per cell
**E_tot**: -129.48 eV/cell
**Formation energy**: -0.1643 eV/atom

Unit cell a=4.6957 b=8.0324 c=8.0324 alpha=119.58 beta=106.95 gamma=106.95
Atoms (fractional coordinates):
Pt (0.0000, 0.0000, 0.0000)
Ta (0.2521, 0.0844, 0.4195)
Ta (0.7479, 0.9156, 0.5805)
Ta (0.7520, 0.2523, 0.2523)
Ta (0.7479, 0.5805, 0.9156)
Ta (0.2521, 0.4195, 0.0844)
Ta (0.2480, 0.7477, 0.7477)
Nb (0.0000, 0.6657, 0.3343)
Nb (0.5000, 0.1653, 0.8347)
Nb (0.5000, 0.8347, 0.1653)
Nb (0.5000, 0.5000, 0.5000)
Nb (0.0000, 0.3343, 0.6657)


No. 2
This record from the Alexandria database describes crystalline Ti8SiP2 at its relaxed geometry. The functional is PBE-GGA.

**Crystal system**: monoclinic
**Magnetic moment**: 0.00 μB per cell
**ΔE_f (raw)**: -6.501 eV per formula unit
**E_tot**: -85.90 eV/cell

Unit cell a=4.5569 b=6.5889 c=6.5889 alpha=112.93 beta=98.15 gamma=98.15
Atoms (fractional coordinates):
Ti (0.9260, 0.9243, 0.6841)
Ti (0.6763, 0.3848, 0.3848)
Ti (0.9260, 0.6841, 0.9243)
Ti (0.5000, 0.2389, 0.7611)
Ti (0.5000, 0.7611, 0.2389)
Ti (0.0740, 0.3159, 0.0757)
Ti (0.3237, 0.6152, 0.6152)
Ti (0.0740, 0.0757, 0.3159)
P (0.0000, 0.6859, 0.3140)
P (0.0000, 0.3140, 0.6859)
Si (0.5000, 0.0000, 0.0000)


No. 3
This record from the Alexandria database describes crystalline NdZnGa2Au at its relaxed geometry. The functional is PBE-GGA.

**Crystal system**: tetragonal
**Magnetic moment**: 0.00 μB per cell
**E_tot**: -18.22 eV/cell
**Formation energy**: -0.5693 eV/atom

Unit cell a=4.2986 b=4.2986 c=6.1958 alpha=110.30 beta=110.30 gamma=90.00
Atoms (fractional coordinates):
Au (0.7500, 0.2500, 0.5000)
Nd (0.0000, 0.0000, 0.0000)
Zn (0.2500, 0.7500, 0.5000)
Ga (0.6138, 0.6138, 0.2276)
Ga (0.3862, 0.3862, 0.7724)


No. 4
This record from the Alexandria database describes crystalline SrYAg2 at its relaxed geometry. The functional is PBE-GGA.

**Crystal system**: tetragonal
**Magnetic moment**: 0.00 μB per cell
**Energy relative to the lowest polymorph listed for this composition**: 166.5 meV/atom
**E_tot**: -14.35 eV/cell
**Formation energy**: -0.1252 eV/atom

Unit cell a=3.7744 b=3.7744 c=7.9307 alpha=90.00 beta=90.00 gamma=90.00
Atoms (fractional coordinates):
Ag (0.5000, 0.5000, 0.2018)
Ag (0.0000, 0.0000, 0.0232)
Y (0.5000, 0.5000, 0.8258)
Sr (0.0000, 0.0000, 0.4493)


No. 5
This record from the Alexandria database describes crystalline Pm2SnAu8 at its relaxed geometry. The functional is PBE-GGA.

**Crystal system**: monoclinic
**Magnetic moment**: 0.00 μB per cell
**E_tot**: -44.84 eV/cell
**Formation energy**: -0.4655 eV/atom

Unit cell a=5.2661 b=6.0887 c=8.6379 alpha=111.37 beta=108.58 gamma=87.75
Atoms (fractional coordinates):
Sn (0.5000, 0.0000, 0.0000)
Au (0.2501, 0.5582, 0.0000)
Au (0.3021, 0.8021, 0.6043)
Au (0.8292, 0.6376, 0.7334)
Au (0.7499, 0.4418, 0.0000)
Au (0.9042, 0.0958, 0.7334)
Au (0.1708, 0.3624, 0.2666)
Au (0.6979, 0.1979, 0.3957)
Au (0.0958, 0.9042, 0.2666)
Pm (0.3160, 0.3160, 0.6320)
Pm (0.6840, 0.6840, 0.3680)


Repeat the third record exactly.
This record from the Alexandria database describes crystalline NdZnGa2Au at its relaxed geometry. The functional is PBE-GGA.

**Crystal system**: tetragonal
**Magnetic moment**: 0.00 μB per cell
**E_tot**: -18.22 eV/cell
**Formation energy**: -0.5693 eV/atom

Unit cell a=4.2986 b=4.2986 c=6.1958 alpha=110.30 beta=110.30 gamma=90.00
Atoms (fractional coordinates):
Au (0.7500, 0.2500, 0.5000)
Nd (0.0000, 0.0000, 0.0000)
Zn (0.2500, 0.7500, 0.5000)
Ga (0.6138, 0.6138, 0.2276)
Ga (0.3862, 0.3862, 0.7724)